Record 1
Crystalline KTa3Ag at its relaxed geometry, computed with PBE.

Cell and atoms, written as POSCAR:
```
KTa3Ag
1.0
4.6336 0.0000 0.0000
0.0000 4.6336 0.0000
0.0000 0.0000 4.6336
K Ta Ag
1 3 1
direct
0.0000 0.0000 0.0000
0.0000 0.0000 0.5000
0.0000 0.5000 0.0000
0.5000 0.0000 0.0000
0.5000 0.5000 0.5000
```

Computed properties:
Electronic total energy: -4.91 eV/atom
SG: Pm-3m, No. 221
ΔH_f (0 K): 2.988 eV per atom
ρ: 11.51 g/cm3
Volume: 19.9 A^3/atom



Record 2
Crystalline KTa4Ag at its relaxed geometry, computed with PBE.

Cell and atoms, written as POSCAR:
```
KTa4Ag
1.0
0.0000 4.0113 4.0113
4.0113 0.0000 4.0113
4.0113 4.0113 0.0000
K Ta Ag
1 4 1
direct
0.0000 0.0000 0.0000
0.1218 0.6261 0.6261
0.6261 0.1218 0.6261
0.6261 0.6261 0.1218
0.6261 0.6261 0.6261
0.2500 0.2500 0.2500
```

Computed properties:
Electronic total energy: -7.52 eV/atom
SG: F-43m, No. 216
ΔH_f (0 K): 1.043 eV per atom
ρ: 11.20 g/cm3
Volume: 21.5 A^3/atom



Record 3
Crystalline KTa3Ag at its relaxed geometry, computed with PBE.

Cell and atoms, written as POSCAR:
```
KTa3Ag
1.0
5.0950 0.0000 0.0000
0.0000 5.0950 0.0000
0.0000 0.0000 5.0950
K Ta Ag
1 3 1
direct
0.0000 0.0000 0.0000
0.0000 0.5000 0.5000
0.5000 0.0000 0.5000
0.5000 0.5000 0.0000
0.5000 0.5000 0.5000
```

Computed properties:
Electronic total energy: -5.67 eV/atom
SG: Pm-3m, No. 221
ΔH_f (0 K): 2.233 eV per atom
ρ: 8.66 g/cm3
Volume: 26.5 A^3/atom



Record 4
Crystalline K3TaAg at its relaxed geometry, computed with PBE.

Cell and atoms, written as POSCAR:
```
K3TaAg
1.0
6.6250 0.0000 0.0000
0.0000 6.6250 0.0000
0.0000 0.0000 6.6250
K Ta Ag
3 1 1
direct
0.0000 0.0000 0.5000
0.0000 0.5000 0.0000
0.5000 0.0000 0.0000
0.0000 0.0000 0.0000
0.5000 0.5000 0.5000
```

Computed properties:
Electronic total energy: -2.18 eV/atom
SG: Pm-3m, No. 221
ΔH_f (0 K): 1.423 eV per atom
ρ: 2.32 g/cm3
Volume: 58.2 A^3/atom



Record 5
Crystalline K3TaAg at its relaxed geometry, computed with PBE.

Cell and atoms, written as POSCAR:
```
K3TaAg
1.0
6.2580 0.0000 0.0000
0.0000 6.2580 0.0000
0.0000 0.0000 6.2580
K Ta Ag
3 1 1
direct
0.0000 0.0000 0.5000
0.0000 0.5000 0.0000
0.5000 0.0000 0.0000
0.5000 0.5000 0.5000
0.0000 0.0000 0.0000
```

Computed properties:
Electronic total energy: -2.28 eV/atom
SG: Pm-3m, No. 221
ΔH_f (0 K): 1.317 eV per atom
ρ: 2.75 g/cm3
Volume: 49.0 A^3/atom



Record 6
Crystalline KTaAg3 at its relaxed geometry, computed with PBE.

Cell and atoms, written as POSCAR:
```
KTaAg3
1.0
5.1224 0.0000 0.0000
0.0000 5.1224 0.0000
0.0000 0.0000 5.1224
K Ta Ag
1 1 3
direct
0.0000 0.0000 0.0000
0.5000 0.5000 0.5000
0.0000 0.0000 0.5000
0.0000 0.5000 0.0000
0.5000 0.0000 0.0000
```

Computed properties:
Electronic total energy: -2.37 eV/atom
SG: Pm-3m, No. 221
ΔH_f (0 K): 1.927 eV per atom
ρ: 6.72 g/cm3
Volume: 26.9 A^3/atom